{"formula": "TbDyGa4Ir2", "functional": "PBE", "state": "optimized geometry", "energy_ev_per_atom": -5.631, "density_g_cm3": 10.914, "lattice_angstrom": [[4.2368, 0.0000, 0.0000], [0.0000, 6.9650, 0.0000], [-2.1109, 0.0000, 5.0771]], "species": ["Tb", "Dy", "Ga", "Ga", "Ga", "Ga", "Ir", "Ir"], "frac_coords": [[0.0000, 0.0000, 0.0000], [0.8483, 0.5000, 0.6973], [0.2833, 0.1969, 0.5666], [0.2833, 0.8031, 0.5666], [0.5652, 0.3038, 0.1312], [0.5652, 0.6962, 0.1312], [0.1338, 0.5000, 0.2687], [0.7146, 0.0000, 0.4290]]}